--- 1 ---
DFT (PBE with a Hubbard U) results for crystalline Fe5O8 at its relaxed geometry.

* N(E_F): 5.4 states/eV/cell
* symmetry: F-43m

a = 5.787 Å, b = 5.787 Å, c = 5.787 Å
α = 60.00°, β = 60.00°, γ = 60.00°
Last column: magnetic moment on the atom in μB.
Fractional positions:
1 Fe 0.638 0.121 0.121  1.34
2 Fe 0.121 0.638 0.121  1.34
3 Fe 0.121 0.121 0.121  1.34
4 Fe 0.121 0.121 0.638  1.34
5 Fe 0.500 0.500 0.500  4.25
6 O 0.906 0.365 0.365  0.08
7 O 0.365 0.906 0.365  0.08
8 O 0.365 0.365 0.365  0.08
9 O 0.365 0.365 0.906  0.08
10 O 0.333 0.889 0.889  0.01
11 O 0.889 0.333 0.889  0.01
12 O 0.889 0.889 0.889  0.01
13 O 0.889 0.889 0.333  0.01

=====

--- 2 ---
DFT (PBE with a Hubbard U) results for crystalline Fe5O8 at its relaxed geometry.

* N(E_F): 1.8 states/eV/cell
* symmetry: R-3m

a = 5.826 Å, b = 5.826 Å, c = 5.826 Å
α = 59.62°, β = 59.62°, γ = 59.62°
Last column: magnetic moment on the atom in μB.
Fractional positions:
1 Fe 0.119 0.119 0.119  4.21
2 Fe 0.881 0.881 0.881  4.21
3 Fe 0.500 0.000 0.500  1.56
4 Fe 0.500 0.500 0.000  1.56
5 Fe 0.000 0.500 0.500  1.56
6 O 0.259 0.259 0.259  -0.03
7 O 0.247 0.722 0.247  0.12
8 O 0.247 0.247 0.722  0.12
9 O 0.722 0.247 0.247  0.12
10 O 0.741 0.741 0.741  -0.03
11 O 0.753 0.278 0.753  0.12
12 O 0.753 0.753 0.278  0.12
13 O 0.278 0.753 0.753  0.12

=====

Which structure is most stable? 2, by 174 meV/atom over the runner-up.

=====

--- 1 ---
DFT (PBE with a Hubbard U) results for crystalline FeOsO2 at its relaxed geometry.

* N(E_F): 2.3 states/eV/cell
* symmetry: R-3m

a = 6.383 Å, b = 6.383 Å, c = 6.383 Å
α = 24.91°, β = 24.91°, γ = 24.91°
Last column: magnetic moment on the atom in μB.
Fractional positions:
1 Os 0.000 0.000 0.000  0.22
2 Fe 0.500 0.500 0.500  1.55
3 O 0.894 0.894 0.894  -0.02
4 O 0.106 0.106 0.106  -0.02

=====

--- 2 ---
DFT (PBE with a Hubbard U) results for crystalline FeOsO2 at its relaxed geometry.

* N(E_F): 5.1 states/eV/cell
* symmetry: I-42d

a = 4.748 Å, b = 4.748 Å, c = 5.608 Å
α = 64.96°, β = 64.96°, γ = 90.00°
Last column: magnetic moment on the atom in μB.
Fractional positions:
1 Os 0.000 0.000 0.000  0.18
2 Os 0.750 0.250 0.500  0.17
3 Fe 0.500 0.500 0.000  4.00
4 Fe 0.250 0.750 0.500  4.01
5 O 0.602 0.125 0.250  0.10
6 O 0.148 0.625 0.250  0.10
7 O 0.375 0.398 0.750  0.10
8 O 0.875 0.852 0.750  0.09

=====

--- 3 ---
DFT (PBE with a Hubbard U) results for crystalline FeOsO2 at its relaxed geometry.

* N(E_F): 3.5 states/eV/cell
* symmetry: Fm-3m

a = 3.877 Å, b = 3.877 Å, c = 3.877 Å
α = 60.00°, β = 60.00°, γ = 60.00°
Last column: magnetic moment on the atom in μB.
Fractional positions:
1 Os 0.500 0.500 0.500  -0.42
2 Fe 0.000 0.000 0.000  -3.60
3 O 0.250 0.250 0.250  -0.05
4 O 0.750 0.750 0.750  -0.05

=====

Which structure is most stable? 1, by 242 meV/atom over the runner-up.

=====

--- 1 ---
DFT (PBE with a Hubbard U) results for crystalline FeOs3O at its relaxed geometry.

* N(E_F): 5.8 states/eV/cell
* symmetry: Pm-3m

a = 4.400 Å, b = 4.400 Å, c = 4.400 Å
α = 90.00°, β = 90.00°, γ = 90.00°
Last column: magnetic moment on the atom in μB.
Fractional positions:
1 Os 0.000 0.500 0.000  0.91
2 Os 0.000 0.000 0.500  0.65
3 Os 0.500 0.000 0.000  0.81
4 Fe 0.000 0.000 0.000  0.64
5 O 0.500 0.500 0.500  1.00

=====

--- 2 ---
DFT (PBE with a Hubbard U) results for crystalline FeOs3O at its relaxed geometry.

* N(E_F): 3.5 states/eV/cell
* symmetry: Pm-3m

a = 4.072 Å, b = 4.072 Å, c = 4.072 Å
α = 90.00°, β = 90.00°, γ = 90.00°
Last column: magnetic moment on the atom in μB.
Fractional positions:
1 Os 0.000 0.500 0.000  0.12
2 Os 0.000 0.000 0.500  0.18
3 Os 0.500 0.000 0.000  0.28
4 Fe 0.500 0.500 0.500  3.81
5 O 0.000 0.000 0.000  -0.03

=====

Which structure is most stable? 2, by 2062 meV/atom over the runner-up.

=====

--- 1 ---
DFT (PBE with a Hubbard U) results for crystalline FeP2OsO at its relaxed geometry.

* N(E_F): 2.9 states/eV/cell
* symmetry: P4/mmm

a = 4.532 Å, b = 4.532 Å, c = 3.232 Å
α = 90.00°, β = 90.00°, γ = 90.00°
Fractional positions:
1 P 0.000 0.500 0.000
2 P 0.500 0.000 0.000
3 Os 0.500 0.500 0.500
4 Fe 0.000 0.000 0.000
5 O 0.000 0.000 0.500

=====

--- 2 ---
DFT (PBE with a Hubbard U) results for crystalline FeP2OsO at its relaxed geometry.

* N(E_F): 4.9 states/eV/cell
* symmetry: P4/mmm

a = 4.788 Å, b = 4.788 Å, c = 3.663 Å
α = 90.00°, β = 90.00°, γ = 90.00°
Last column: magnetic moment on the atom in μB.
Fractional positions:
1 P 0.000 0.500 0.000  -0.08
2 P 0.500 0.000 0.000  -0.08
3 Os 0.000 0.000 0.000  -0.37
4 Fe 0.500 0.500 0.500  3.68
5 O 0.000 0.000 0.500  -0.03

=====

Which structure is most stable? 2, by 506 meV/atom over the runner-up.

=====

--- 1 ---
DFT (PBE with a Hubbard U) results for crystalline FeP2O7 at its relaxed geometry.

* N(E_F): 2.8 states/eV/cell
* symmetry: P2_1

a = 8.330 Å, b = 5.023 Å, c = 6.988 Å
α = 74.52°, β = 90.00°, γ = 90.00°
Last column: magnetic moment on the atom in μB.
Fractional positions:
1 Fe 0.991 0.789 0.229  4.42
2 Fe 0.491 0.211 0.771  4.42
3 P 0.227 0.254 0.392  0.01
4 P 0.727 0.746 0.608  0.01
5 P 0.808 0.377 0.993  0.00
6 P 0.308 0.623 0.007  0.00
7 O 0.088 0.446 0.413  0.25
8 O 0.160 0.014 0.320  0.25
9 O 0.660 0.986 0.680  0.25
10 O 0.326 0.155 0.577  0.16
11 O 0.929 0.141 0.028  0.25
12 O 0.636 0.274 0.989  0.19
13 O 0.330 0.455 0.856  0.24
14 O 0.588 0.554 0.587  0.25
15 O 0.429 0.859 0.972  0.25
16 O 0.349 0.427 0.225  0.02
17 O 0.826 0.845 0.423  0.16
18 O 0.830 0.545 0.144  0.24
19 O 0.136 0.726 0.011  0.19
20 O 0.849 0.573 0.775  0.02

=====

--- 2 ---
DFT (PBE with a Hubbard U) results for crystalline FeP2O7 at its relaxed geometry.

* N(E_F): 1.1 states/eV/cell
* symmetry: Cc

a = 5.580 Å, b = 5.580 Å, c = 9.104 Å
α = 85.77°, β = 85.77°, γ = 105.17°
Last column: magnetic moment on the atom in μB.
Fractional positions:
1 Fe 0.333 0.674 0.500  4.39
2 Fe 0.674 0.333 0.000  4.39
3 P 0.770 0.822 0.194  0.01
4 P 0.236 0.174 0.305  0.00
5 P 0.822 0.770 0.694  0.01
6 P 0.174 0.236 0.805  0.00
7 O 0.017 0.708 0.590  0.16
8 O 0.712 0.564 0.819  0.24
9 O 0.949 0.007 0.776  0.02
10 O 0.564 0.712 0.319  0.24
11 O 0.281 0.383 0.657  0.20
12 O 0.366 0.138 0.885  0.25
13 O 0.614 0.838 0.615  0.18
14 O 0.838 0.614 0.115  0.18
15 O 0.045 0.379 0.910  0.31
16 O 0.007 0.949 0.276  0.02
17 O 0.379 0.045 0.410  0.31
18 O 0.138 0.366 0.385  0.25
19 O 0.708 0.017 0.090  0.16
20 O 0.383 0.281 0.157  0.20

=====

Which structure is most stable? 1, by 65 meV/atom over the runner-up.

=====

--- 1 ---
DFT (PBE with a Hubbard U) results for crystalline FeP2O7 at its relaxed geometry.

* N(E_F): 10.1 states/eV/cell
* symmetry: P-1

a = 5.331 Å, b = 6.837 Å, c = 8.503 Å
α = 70.85°, β = 89.78°, γ = 89.75°
Last column: magnetic moment on the atom in μB.
Fractional positions:
1 Fe 0.752 0.791 0.270  4.43
2 Fe 0.248 0.209 0.730  4.43
3 P 0.254 0.445 0.318  0.01
4 P 0.746 0.555 0.682  0.01
5 P 0.247 0.115 0.160  0.01
6 P 0.753 0.885 0.840  0.01
7 O 0.516 0.994 0.754  0.24
8 O 0.980 0.421 0.707  0.22
9 O 0.020 0.579 0.293  0.22
10 O 0.989 0.990 0.749  0.23
11 O 0.254 0.267 0.482  0.20
12 O 0.251 0.346 0.170  0.05
13 O 0.243 0.144 0.976  0.18
14 O 0.484 0.006 0.246  0.24
15 O 0.746 0.733 0.518  0.20
16 O 0.491 0.574 0.290  0.22
17 O 0.011 0.010 0.251  0.23
18 O 0.757 0.856 0.024  0.18
19 O 0.749 0.654 0.830  0.05
20 O 0.509 0.426 0.710  0.22

=====

--- 2 ---
DFT (PBE with a Hubbard U) results for crystalline FeP2O7 at its relaxed geometry.

* N(E_F): 2.1 states/eV/cell
* symmetry: C2/m

a = 6.569 Å, b = 6.569 Å, c = 6.986 Å
α = 68.62°, β = 68.62°, γ = 79.69°
Last column: magnetic moment on the atom in μB.
Fractional positions:
1 Fe 0.695 0.305 0.500  4.40
2 Fe 0.305 0.695 0.500  4.40
3 P 0.236 0.236 0.421  0.02
4 P 0.686 0.686 0.054  -0.01
5 P 0.764 0.764 0.579  0.02
6 P 0.314 0.314 0.946  -0.01
7 O 0.764 0.457 0.175  0.23
8 O 0.457 0.764 0.175  0.23
9 O 0.639 0.639 0.508  0.11
10 O 0.294 0.993 0.493  0.11
11 O 0.993 0.294 0.493  0.11
12 O 0.666 0.666 0.840  0.03
13 O 0.147 0.147 0.004  0.48
14 O 0.007 0.706 0.507  0.11
15 O 0.706 0.007 0.507  0.11
16 O 0.361 0.361 0.492  0.11
17 O 0.543 0.236 0.825  0.23
18 O 0.236 0.543 0.825  0.23
19 O 0.853 0.853 0.996  0.48
20 O 0.334 0.334 0.160  0.03

=====

--- 3 ---
DFT (PBE with a Hubbard U) results for crystalline FeP2O7 at its relaxed geometry.

* N(E_F): 6.8 states/eV/cell
* symmetry: C2

a = 5.237 Å, b = 5.237 Å, c = 4.620 Å
α = 81.91°, β = 81.91°, γ = 100.30°
Last column: magnetic moment on the atom in μB.
Fractional positions:
1 Fe 0.111 0.889 0.000  4.40
2 P 0.268 0.339 0.410  0.03
3 P 0.661 0.732 0.590  0.03
4 O 0.548 0.452 0.500  -0.01
5 O 0.847 0.671 0.806  -0.09
6 O 0.430 0.838 0.732  -0.08
7 O 0.329 0.153 0.194  -0.09
8 O 0.162 0.570 0.268  -0.08
9 O 0.087 0.196 0.698  -0.06
10 O 0.804 0.913 0.302  -0.06

=====

Which structure is most stable? 1, by 39 meV/atom over the runner-up.

=====

--- 1 ---
DFT (PBE with a Hubbard U) results for crystalline FeP2O2 at its relaxed geometry.

* N(E_F): 2.9 states/eV/cell
* symmetry: P4/mmm

a = 4.502 Å, b = 4.502 Å, c = 3.531 Å
α = 90.00°, β = 90.00°, γ = 90.00°
Last column: magnetic moment on the atom in μB.
Fractional positions:
1 P 0.000 0.500 0.000  0.04
2 P 0.500 0.000 0.000  0.04
3 Fe 0.000 0.000 0.000  2.89
4 O 0.500 0.500 0.500  -0.20
5 O 0.000 0.000 0.500  0.22

=====

--- 2 ---
DFT (PBE with a Hubbard U) results for crystalline FeP2O2 at its relaxed geometry.

* N(E_F): 3.1 states/eV/cell
* symmetry: P4/mmm

a = 3.655 Å, b = 3.655 Å, c = 5.131 Å
α = 90.00°, β = 90.00°, γ = 90.00°
Last column: magnetic moment on the atom in μB.
Fractional positions:
1 P 0.000 0.500 0.000  0.01
2 P 0.500 0.000 0.000  0.01
3 Fe 0.500 0.500 0.500  3.82
4 O 0.000 0.000 0.000  -0.01
5 O 0.000 0.000 0.500  0.36

=====

Which structure is most stable? 2, by 83 meV/atom over the runner-up.

=====

--- 1 ---
DFT (PBE with a Hubbard U) results for crystalline FeP2O2 at its relaxed geometry.

* N(E_F): 1.2 states/eV/cell
* symmetry: I4/mmm

a = 3.111 Å, b = 3.111 Å, c = 8.809 Å
α = 79.83°, β = 79.83°, γ = 90.00°
Last column: magnetic moment on the atom in μB.
Fractional positions:
1 P 0.750 0.250 0.500  -0.01
2 P 0.250 0.750 0.500  -0.01
3 Fe 0.000 0.000 0.000  3.77
4 O 0.454 0.454 0.092  0.08
5 O 0.546 0.546 0.908  0.08

=====

--- 2 ---
DFT (PBE with a Hubbard U) results for crystalline FeP2O2 at its relaxed geometry.

* N(E_F): 3.6 states/eV/cell
* symmetry: P4/mbm

a = 5.735 Å, b = 5.735 Å, c = 3.931 Å
α = 90.00°, β = 90.00°, γ = 90.00°
Last column: magnetic moment on the atom in μB.
Fractional positions:
1 P 0.249 0.749 0.500  0.00
2 P 0.749 0.751 0.500  -0.01
3 P 0.751 0.251 0.500  0.00
4 P 0.251 0.249 0.500  -0.01
5 Fe 0.000 0.000 0.000  3.83
6 Fe 0.500 0.500 0.000  3.83
7 O 0.248 0.748 0.000  0.08
8 O 0.748 0.752 0.000  0.08
9 O 0.752 0.252 0.000  0.09
10 O 0.252 0.248 0.000  0.08

=====

--- 3 ---
DFT (PBE with a Hubbard U) results for crystalline FeP2O2 at its relaxed geometry.

* N(E_F): 0.9 states/eV/cell
* symmetry: P4/mmm

a = 3.529 Å, b = 3.529 Å, c = 4.731 Å
α = 90.00°, β = 90.00°, γ = 90.00°
Last column: magnetic moment on the atom in μB.
Fractional positions:
1 P 0.000 0.000 0.000  -0.01
2 P 0.000 0.000 0.500  0.03
3 Fe 0.500 0.500 0.500  3.83
4 O 0.000 0.500 0.000  0.04
5 O 0.500 0.000 0.000  0.04

=====

Which structure is most stable? 3, by 107 meV/atom over the runner-up.